Computed, not measured: an optimized crystal structure of CePmCoCu at the PBE-GGA level of DFT.

Geometry as CIF:
```
data_CePmCoCu
_chemical_formula_sum 'Ce4 Pm4 Co4 Cu4'
_cell_length_a 6.9361
_cell_length_b 6.9361
_cell_length_c 6.9361
_cell_angle_alpha 90.00
_cell_angle_beta 90.00
_cell_angle_gamma 90.00
_space_group_name_H-M_alt 'F -4 3 m'
_space_group_IT_number 216
_space_group_name_Hall 'F -4 2 3'
loop_
_atom_site_label
_atom_site_fract_x
_atom_site_fract_y
_atom_site_fract_z
Ce1 0.0000 0.0000 0.0000
Pm1 0.0000 0.0000 0.5000
Co1 0.2500 0.2500 0.7500
Cu1 0.2500 0.2500 0.2500
```



# RbLa3Bi PBE-GGA optimized geometry
# energy above the lowest structure with this stoichiometry: 0.000 eV/f.u.
data_RbLa3Bi
_chemical_formula_sum 'Rb1 La3 Bi1'
_cell_length_a 6.3403
_cell_length_b 6.3403
_cell_length_c 6.3403
_cell_angle_alpha 90.00
_cell_angle_beta 90.00
_cell_angle_gamma 90.00
_space_group_name_H-M_alt 'P m -3 m'
_space_group_IT_number 221
_space_group_name_Hall '-P 4 2 3'
loop_
_atom_site_label
_atom_site_fract_x
_atom_site_fract_y
_atom_site_fract_z
Rb1 0.0000 0.0000 0.0000
La1 0.0000 0.5000 0.5000
Bi1 0.5000 0.5000 0.5000



Computed, not measured: an optimized crystal structure of Pr3Y5Ho at the PBE-GGA level of DFT.

Geometry as CIF:
```
data_Pr3Y5Ho
_chemical_formula_sum 'Pr12 Y20 Ho4'
_cell_length_a 8.7976
_cell_length_b 8.7976
_cell_length_c 15.6559
_cell_angle_alpha 90.00
_cell_angle_beta 90.00
_cell_angle_gamma 90.00
_space_group_name_H-M_alt 'I 4/m c m'
_space_group_IT_number 140
_space_group_name_Hall '-I 4 2c'
loop_
_atom_site_label
_atom_site_fract_x
_atom_site_fract_y
_atom_site_fract_z
Pr1 0.0000 0.0000 0.2500
Pr2 0.1172 0.3828 0.0000
Y1 0.0000 0.0000 0.0000
Y2 0.2098 0.2902 0.3621
Ho1 0.0000 0.5000 0.2500
```



# NiPtRh PBE-GGA optimized geometry
# energy above the lowest structure with this stoichiometry: 0.063 eV/f.u.
data_NiPtRh
_chemical_formula_sum 'Ni4 Pt4 Rh4'
_cell_length_a 8.4841
_cell_length_b 3.8117
_cell_length_c 5.3841
_cell_angle_alpha 90.00
_cell_angle_beta 107.88
_cell_angle_gamma 90.00
_space_group_name_H-M_alt 'C 1 m 1'
_space_group_IT_number 8
loop_
_space_group_symop_operation_xyz
'x,y,z'
'x,-y,z'
'x+1/2,y+1/2,z'
'x+1/2,-y+1/2,z'
loop_
_atom_site_label
_atom_site_fract_x
_atom_site_fract_y
_atom_site_fract_z
Ni1 0.0000 0.0000 0.0000
Ni2 0.1614 0.5000 0.3241
Pt1 0.1626 0.5000 0.8370
Pt2 0.3281 0.0000 0.6562
Rh1 0.3339 0.0000 0.1628
Rh2 0.4952 0.5000 0.4827



In order of appearance, DOS(E_F) = 5.84 8.93 10.55 5.27 states/eV/f.u..
In order of appearance, calculated density = 8.11 4.63 5.66 14.30 g/cm³.
In order of appearance, energy of formation = -0.052 0.151 0.247 -0.010 eV/atom.